K3SbBr7: relaxed, PBE.

Calculated values
Energy   -2.875 eV per atom
SG   Cm (8)

Geometry as CIF:
```
data_K3SbBr7
_chemical_formula_sum 'K3 Sb1 Br7'
_cell_length_a 7.406
_cell_length_b 7.406
_cell_length_c 8.117
_cell_angle_alpha 79.22
_cell_angle_beta 79.22
_cell_angle_gamma 92.33
_symmetry_space_group_name_H-M 'P 1'
_symmetry_Int_Tables_number 1
_symmetry_space_group_name_Hall 'P 1'
loop_
_atom_site_label
_atom_site_fract_x
_atom_site_fract_y
_atom_site_fract_z
_atom_site_occupancy
K1 0.768 0.216 0.482 1
K2 0.493 0.493 0.945 1
K3 0.216 0.768 0.482 1
Sb1 0.010 0.010 0.972 1
Br1 0.167 0.167 0.204 1
Br2 0.668 0.049 0.154 1
Br3 0.988 0.348 0.779 1
Br4 0.049 0.668 0.154 1
Br5 0.574 0.574 0.540 1
Br6 0.348 0.988 0.779 1
Br7 0.844 0.844 0.760 1
```



K2Sb2Br: relaxed, PBE.

Calculated values
SG   I4/mmm (139)
Energy above the most stable polymorph in this dataset   0.4190 eV/atom

Geometry as CIF:
```
data_K2Sb2Br
_chemical_formula_sum 'K2 Sb2 Br1'
_cell_length_a 6.740
_cell_length_b 6.740
_cell_length_c 6.922
_cell_angle_alpha 60.87
_cell_angle_beta 60.87
_cell_angle_gamma 90.00
_symmetry_space_group_name_H-M 'P 1'
_symmetry_Int_Tables_number 1
_symmetry_space_group_name_Hall 'P 1'
loop_
_atom_site_label
_atom_site_fract_x
_atom_site_fract_y
_atom_site_fract_z
_atom_site_occupancy
Sb1 0.371 0.371 0.259 1
Sb2 0.629 0.629 0.741 1
K1 0.750 0.250 0.500 1
K2 0.250 0.750 0.500 1
Br1 0.000 0.000 0.000 1
```



K3SbBr6: relaxed, PBE.

Calculated values
SG   Fm-3m (225)
Energy above the most stable polymorph in this dataset   0.0828 eV/atom

Geometry as CIF:
```
data_K3SbBr6
_chemical_formula_sum 'K3 Sb1 Br6'
_cell_length_a 8.379
_cell_length_b 8.379
_cell_length_c 8.379
_cell_angle_alpha 60.00
_cell_angle_beta 60.00
_cell_angle_gamma 60.00
_symmetry_space_group_name_H-M 'P 1'
_symmetry_Int_Tables_number 1
_symmetry_space_group_name_Hall 'P 1'
loop_
_atom_site_label
_atom_site_fract_x
_atom_site_fract_y
_atom_site_fract_z
_atom_site_occupancy
K1 0.750 0.750 0.750 1
K2 0.250 0.250 0.250 1
K3 0.500 0.500 0.500 1
Sb1 0.000 0.000 0.000 1
Br1 0.763 0.237 0.237 1
Br2 0.237 0.237 0.763 1
Br3 0.237 0.763 0.763 1
Br4 0.237 0.763 0.237 1
Br5 0.763 0.237 0.763 1
Br6 0.763 0.763 0.237 1
```



KSbBr: relaxed, PBE.

Calculated values
SG   Imm2 (44)
Energy above the most stable polymorph in this dataset   0.0000 eV/atom

Geometry as CIF:
```
data_KSbBr
_chemical_formula_sum 'K1 Sb1 Br1'
_cell_length_a 6.759
_cell_length_b 6.759
_cell_length_c 6.759
_cell_angle_alpha 148.65
_cell_angle_beta 133.07
_cell_angle_gamma 57.52
_symmetry_space_group_name_H-M 'P 1'
_symmetry_Int_Tables_number 1
_symmetry_space_group_name_Hall 'P 1'
loop_
_atom_site_label
_atom_site_fract_x
_atom_site_fract_y
_atom_site_fract_z
_atom_site_occupancy
Br1 0.941 0.941 0.000 1
K1 0.345 0.345 0.000 1
Sb1 0.714 0.714 0.000 1
```



K2Sb2Br: relaxed, PBE.

Calculated values
SG   P4/mbm (127)
Energy above the most stable polymorph in this dataset   0.2750 eV/atom

Geometry as CIF:
```
data_K2Sb2Br
_chemical_formula_sum 'K4 Sb4 Br2'
_cell_length_a 9.219
_cell_length_b 9.219
_cell_length_c 4.730
_cell_angle_alpha 90.00
_cell_angle_beta 90.00
_cell_angle_gamma 90.00
_symmetry_space_group_name_H-M 'P 1'
_symmetry_Int_Tables_number 1
_symmetry_space_group_name_Hall 'P 1'
loop_
_atom_site_label
_atom_site_fract_x
_atom_site_fract_y
_atom_site_fract_z
_atom_site_occupancy
Sb1 0.400 0.900 0.000 1
Sb2 0.900 0.600 0.000 1
Sb3 0.600 0.100 0.000 1
Sb4 0.100 0.400 0.000 1
K1 0.196 0.696 0.500 1
K2 0.696 0.804 0.500 1
K3 0.804 0.304 0.500 1
K4 0.304 0.196 0.500 1
Br1 0.000 0.000 0.000 1
Br2 0.500 0.500 0.000 1
```



KSbBr: relaxed, PBE.

Calculated values
SG   F-43m (216)
Energy above the most stable polymorph in this dataset   0.3091 eV/atom

Geometry as CIF:
```
data_KSbBr
_chemical_formula_sum 'K1 Sb1 Br1'
_cell_length_a 5.817
_cell_length_b 5.817
_cell_length_c 5.817
_cell_angle_alpha 60.00
_cell_angle_beta 60.00
_cell_angle_gamma 60.00
_symmetry_space_group_name_H-M 'P 1'
_symmetry_Int_Tables_number 1
_symmetry_space_group_name_Hall 'P 1'
loop_
_atom_site_label
_atom_site_fract_x
_atom_site_fract_y
_atom_site_fract_z
_atom_site_occupancy
Br1 0.500 0.500 0.500 1
K1 0.750 0.750 0.750 1
Sb1 0.000 0.000 0.000 1
```



K3SbBr: relaxed, PBE.

Calculated values
SG   Pm-3m (221)
Energy above the most stable polymorph in this dataset   0.0000 eV/atom

Geometry as CIF:
```
data_K3SbBr
_chemical_formula_sum 'K3 Sb1 Br1'
_cell_length_a 6.118
_cell_length_b 6.118
_cell_length_c 6.118
_cell_angle_alpha 90.00
_cell_angle_beta 90.00
_cell_angle_gamma 90.00
_symmetry_space_group_name_H-M 'P 1'
_symmetry_Int_Tables_number 1
_symmetry_space_group_name_Hall 'P 1'
loop_
_atom_site_label
_atom_site_fract_x
_atom_site_fract_y
_atom_site_fract_z
_atom_site_occupancy
Sb1 0.500 0.500 0.500 1
K1 0.000 0.500 0.000 1
K2 0.000 0.000 0.500 1
K3 0.500 0.000 0.000 1
Br1 0.000 0.000 0.000 1
```



KSbBr: relaxed, PBE.

Calculated values
SG   I4mm (107)
Energy above the most stable polymorph in this dataset   0.0476 eV/atom

Geometry as CIF:
```
data_KSbBr
_chemical_formula_sum 'K1 Sb1 Br1'
_cell_length_a 7.709
_cell_length_b 7.708
_cell_length_c 3.678
_cell_angle_alpha 76.20
_cell_angle_beta 76.19
_cell_angle_gamma 27.60
_symmetry_space_group_name_H-M 'P 1'
_symmetry_Int_Tables_number 1
_symmetry_space_group_name_Hall 'P 1'
loop_
_atom_site_label
_atom_site_fract_x
_atom_site_fract_y
_atom_site_fract_z
_atom_site_occupancy
Br1 0.983 0.983 0.017 1
K1 0.359 0.359 0.641 1
Sb1 0.658 0.658 0.342 1
```



KSbSeBr2: relaxed, PBE.

Calculated values
SG   P4/mmm (123)
Energy above the most stable polymorph in this dataset   1.0939 eV/atom

Geometry as CIF:
```
data_KSbSeBr2
_chemical_formula_sum 'K1 Sb1 Se1 Br2'
_cell_length_a 5.664
_cell_length_b 5.664
_cell_length_c 5.898
_cell_angle_alpha 90.00
_cell_angle_beta 90.00
_cell_angle_gamma 90.00
_symmetry_space_group_name_H-M 'P 1'
_symmetry_Int_Tables_number 1
_symmetry_space_group_name_Hall 'P 1'
loop_
_atom_site_label
_atom_site_fract_x
_atom_site_fract_y
_atom_site_fract_z
_atom_site_occupancy
Sb1 0.500 0.500 0.500 1
K1 0.000 0.000 0.000 1
Se1 0.000 0.000 0.500 1
Br1 0.000 0.500 0.000 1
Br2 0.500 0.000 0.000 1
```



KSbSeBr2: relaxed, PBE.

Calculated values
SG   P4/mmm (123)
Energy above the most stable polymorph in this dataset   0.0000 eV/atom

Geometry as CIF:
```
data_KSbSeBr2
_chemical_formula_sum 'K1 Sb1 Se1 Br2'
_cell_length_a 5.783
_cell_length_b 5.783
_cell_length_c 5.354
_cell_angle_alpha 90.00
_cell_angle_beta 90.00
_cell_angle_gamma 90.00
_symmetry_space_group_name_H-M 'P 1'
_symmetry_Int_Tables_number 1
_symmetry_space_group_name_Hall 'P 1'
loop_
_atom_site_label
_atom_site_fract_x
_atom_site_fract_y
_atom_site_fract_z
_atom_site_occupancy
Sb1 0.000 0.000 0.000 1
K1 0.500 0.500 0.500 1
Se1 0.000 0.000 0.500 1
Br1 0.000 0.500 0.000 1
Br2 0.500 0.000 0.000 1
```



KSn2SbBr8: relaxed, PBE.

Calculated values
Energy   -3.075 eV per atom
SG   P-1 (2)

Geometry as CIF:
```
data_KSn2SbBr8
_chemical_formula_sum 'K1 Sn2 Sb1 Br8'
_cell_length_a 7.221
_cell_length_b 6.906
_cell_length_c 9.008
_cell_angle_alpha 89.93
_cell_angle_beta 89.98
_cell_angle_gamma 88.81
_symmetry_space_group_name_H-M 'P 1'
_symmetry_Int_Tables_number 1
_symmetry_space_group_name_Hall 'P 1'
loop_
_atom_site_label
_atom_site_fract_x
_atom_site_fract_y
_atom_site_fract_z
_atom_site_occupancy
K1 0.000 0.000 0.500 1
Sn1 0.500 0.500 0.750 1
Sn2 0.500 0.500 0.250 1
Sb1 0.000 0.000 0.000 1
Br1 0.161 0.758 0.221 1
Br2 0.681 0.760 0.000 1
Br3 0.838 0.242 0.221 1
Br4 0.839 0.242 0.779 1
Br5 0.319 0.240 0.000 1
Br6 0.162 0.758 0.779 1
Br7 0.635 0.723 0.500 1
Br8 0.365 0.277 0.500 1
```



KTi2SbBr: relaxed, PBE.

Calculated values
Energy   -2.820 eV per atom
SG   P4/mmm (123)

Geometry as CIF:
```
data_KTi2SbBr
_chemical_formula_sum 'K1 Ti2 Sb1 Br1'
_cell_length_a 5.664
_cell_length_b 5.656
_cell_length_c 5.664
_cell_angle_alpha 90.00
_cell_angle_beta 90.00
_cell_angle_gamma 90.00
_symmetry_space_group_name_H-M 'P 1'
_symmetry_Int_Tables_number 1
_symmetry_space_group_name_Hall 'P 1'
loop_
_atom_site_label
_atom_site_fract_x
_atom_site_fract_y
_atom_site_fract_z
_atom_site_occupancy
Sb1 0.000 0.500 0.000 1
K1 0.000 0.000 0.000 1
Br1 0.500 0.500 0.500 1
Ti1 0.000 0.000 0.500 1
Ti2 0.500 0.000 0.000 1
```



The evaluated M_tot for the records listed, in turn: 0.00 0.00 0.00 0.00 0.00 3.00 1.00 0.70 1.01 0.00 0.00 4.97 μB/cell.